CsGaBi3 after structural relaxation. Source: Alexandria via LeMat-Bulk, functional PBE.

Output
The energy above the most stable polymorph in this dataset is 0.00 eV per formula unit. For the density of states at the Fermi level, the calculation gives 1.42 states/eV/f.u. The energy relative to the elements is -0.115 eV/atom. Its spin magnetization is 0.000 μB per atom. Its space group is No. 31.

Cell: 5.912 9.661 7.351 Å, 90.00 90.00 89.99°
Positions (direct):
Bi: 0.463 0.848 0.448
Bi: 0.853 0.929 0.701
Bi: 0.963 0.505 0.948
Bi: 0.963 0.505 0.454
Bi: 0.353 0.424 0.201
Ga: 0.150 0.702 0.701
Bi: 0.463 0.848 0.954
Cs: 0.450 0.258 0.701
Ga: 0.650 0.651 0.201
Cs: 0.950 0.094 0.201